1.
Entry from Alexandria: a geometry-optimized Sr4Mg structure (PBE).

The structure in CIF format:
```
data_Sr4Mg
_chemical_formula_sum 'Sr16 Mg4'
_space_group_name_H-M_alt 'C 1 2/c 1'
_space_group_IT_number 15
_cell_length_a 10.6950
_cell_length_b 17.4263
_cell_length_c 7.0140
_cell_angle_alpha 90.00
_cell_angle_beta 130.73
_cell_angle_gamma 90.00
loop_
_space_group_symop_operation_xyz
'x,y,z'
'-x,-y,-z'
'-x,y,-z+1/2'
'x,-y,z+1/2'
'x+1/2,y+1/2,z'
'-x+1/2,-y+1/2,-z'
'-x+1/2,y+1/2,-z+1/2'
'x+1/2,-y+1/2,z+1/2'
loop_
_atom_site_label
_atom_site_fract_x
_atom_site_fract_y
_atom_site_fract_z
Sr1 0.1515 0.1771 0.1514
Sr2 0.1599 0.4170 0.1602
Mg1 0.0000 0.0000 0.2500
```

Calculated values
Theoretical density: 2.5 Mg/m³
Energy above the lowest structure with this stoichiometry: 0.180 eV per formula unit
N(E_F): 6.7 states/eV/f.u.

***

2.
Entry from Alexandria: a geometry-optimized SrMg structure (PBE).

The structure in CIF format:
```
data_SrMg
_chemical_formula_sum 'Sr16 Mg16'
_space_group_name_H-M_alt 'F d d d'
_space_group_IT_number 70
_cell_length_a 6.5796
_cell_length_b 10.5178
_cell_length_c 17.7781
_cell_angle_alpha 90.00
_cell_angle_beta 90.00
_cell_angle_gamma 90.00
loop_
_space_group_symop_operation_xyz
'x,y,z'
'-x,-y,-z'
'-x+1/4,-y+1/4,z'
'x+1/4,y+1/4,-z'
'x,-y+1/4,-z+1/4'
'-x,y+1/4,z+1/4'
'-x+1/4,y,-z+1/4'
'x+1/4,-y,z+1/4'
'x,y+1/2,z+1/2'
'-x,-y+1/2,-z+1/2'
'-x+1/4,-y+3/4,z+1/2'
'x+1/4,y+3/4,-z+1/2'
'x,-y+3/4,-z+3/4'
'-x,y+3/4,z+3/4'
'-x+1/4,y+1/2,-z+3/4'
'x+1/4,-y+1/2,z+3/4'
'x+1/2,y,z+1/2'
'-x+1/2,-y,-z+1/2'
'-x+3/4,-y+1/4,z+1/2'
'x+3/4,y+1/4,-z+1/2'
'x+1/2,-y+1/4,-z+3/4'
'-x+1/2,y+1/4,z+3/4'
'-x+3/4,y,-z+3/4'
'x+3/4,-y,z+3/4'
'x+1/2,y+1/2,z'
'-x+1/2,-y+1/2,-z'
'-x+3/4,-y+3/4,z'
'x+3/4,y+3/4,-z'
'x+1/2,-y+3/4,-z+1/4'
'-x+1/2,y+3/4,z+1/4'
'-x+3/4,y+1/2,-z+1/4'
'x+3/4,-y+1/2,z+1/4'
loop_
_atom_site_label
_atom_site_fract_x
_atom_site_fract_y
_atom_site_fract_z
Sr1 0.1250 0.2958 0.1250
Mg1 0.1250 0.1250 0.5431
```

Calculated values
Theoretical density: 2.4 Mg/m³
Raw total energy: -1.539 eV/atom
N(E_F): 1.7 states/eV/f.u.

***

3.
Entry from Alexandria: a geometry-optimized SrMg2Ta structure (PBE).

The structure in CIF format:
```
data_SrMg2Ta
_chemical_formula_sum 'Sr2 Mg4 Ta2'
_space_group_name_H-M_alt 'C 1 m 1'
_space_group_IT_number 8
_cell_length_a 10.7932
_cell_length_b 3.0868
_cell_length_c 5.9990
_cell_angle_alpha 90.00
_cell_angle_beta 97.80
_cell_angle_gamma 90.00
loop_
_space_group_symop_operation_xyz
'x,y,z'
'x,-y,z'
'x+1/2,y+1/2,z'
'x+1/2,-y+1/2,z'
loop_
_atom_site_label
_atom_site_fract_x
_atom_site_fract_y
_atom_site_fract_z
Sr1 0.0000 0.0000 0.0000
Mg1 0.0076 0.5000 0.5265
Mg2 0.2592 0.5000 0.2696
Ta1 0.2446 0.0000 0.7095
```

Calculated values
Theoretical density: 5.3 Mg/m³
Energy above the lowest structure with this stoichiometry: 0.839 eV per formula unit
N(E_F): 4.3 states/eV/f.u.

***

4.
Entry from Alexandria: a geometry-optimized SrMgTa structure (PBE).

The structure in CIF format:
```
data_SrMgTa
_chemical_formula_sum 'Sr4 Mg4 Ta4'
_space_group_name_H-M_alt 'F -4 3 m'
_space_group_IT_number 216
_space_group_name_Hall 'F -4 2 3'
_cell_length_a 7.3187
_cell_length_b 7.3187
_cell_length_c 7.3187
_cell_angle_alpha 90.00
_cell_angle_beta 90.00
_cell_angle_gamma 90.00
loop_
_atom_site_label
_atom_site_fract_x
_atom_site_fract_y
_atom_site_fract_z
Sr1 0.0000 0.0000 0.0000
Mg1 0.2500 0.2500 0.7500
Ta1 0.0000 0.0000 0.5000
```

Calculated values
Theoretical density: 5.0 Mg/m³
Energy above the lowest structure with this stoichiometry: 2.249 eV per formula unit
N(E_F): 5.1 states/eV/f.u.

***

5.
Entry from Alexandria: a geometry-optimized SrMgTa structure (PBE).

The structure in CIF format:
```
data_SrMgTa
_chemical_formula_sum 'Sr2 Mg2 Ta2'
_space_group_name_H-M_alt 'I 4 m m'
_space_group_IT_number 107
_space_group_name_Hall 'I 4 -2'
_cell_length_a 3.1437
_cell_length_b 3.1437
_cell_length_c 15.1872
_cell_angle_alpha 90.00
_cell_angle_beta 90.00
_cell_angle_gamma 90.00
loop_
_atom_site_label
_atom_site_fract_x
_atom_site_fract_y
_atom_site_fract_z
Sr1 0.0000 0.0000 0.0000
Mg1 0.0000 0.0000 0.6923
Ta1 0.0000 0.0000 0.3248
```

Calculated values
Theoretical density: 6.5 Mg/m³
Energy above the lowest structure with this stoichiometry: 0.000 eV per formula unit
N(E_F): 3.9 states/eV/f.u.

***

6.
Entry from Alexandria: a geometry-optimized SrMg2Ta structure (PBE).

The structure in CIF format:
```
data_SrMg2Ta
_chemical_formula_sum 'Sr4 Mg8 Ta4'
_space_group_name_H-M_alt 'F -4 3 m'
_space_group_IT_number 216
_space_group_name_Hall 'F -4 2 3'
_cell_length_a 7.4571
_cell_length_b 7.4571
_cell_length_c 7.4571
_cell_angle_alpha 90.00
_cell_angle_beta 90.00
_cell_angle_gamma 90.00
loop_
_atom_site_label
_atom_site_fract_x
_atom_site_fract_y
_atom_site_fract_z
Sr1 0.0000 0.0000 0.0000
Mg1 0.0000 0.0000 0.5000
Mg2 0.2500 0.2500 0.7500
Ta1 0.2500 0.2500 0.2500
```

Calculated values
Theoretical density: 5.1 Mg/m³
Energy above the lowest structure with this stoichiometry: 1.563 eV per formula unit
N(E_F): 2.6 states/eV/f.u.

***

7.
Entry from Alexandria: a geometry-optimized SrMg2Ta structure (PBE).

The structure in CIF format:
```
data_SrMg2Ta
_chemical_formula_sum 'Sr2 Mg4 Ta2'
_space_group_name_H-M_alt 'C 1 2/m 1'
_space_group_IT_number 12
_cell_length_a 10.5685
_cell_length_b 3.0616
_cell_length_c 6.3776
_cell_angle_alpha 90.00
_cell_angle_beta 96.66
_cell_angle_gamma 90.00
loop_
_space_group_symop_operation_xyz
'x,y,z'
'-x,-y,-z'
'-x,y,-z'
'x,-y,z'
'x+1/2,y+1/2,z'
'-x+1/2,-y+1/2,-z'
'-x+1/2,y+1/2,-z'
'x+1/2,-y+1/2,z'
loop_
_atom_site_label
_atom_site_fract_x
_atom_site_fract_y
_atom_site_fract_z
Sr1 0.0000 0.0000 0.0000
Mg1 0.2392 0.0000 0.6966
Ta1 0.0000 0.5000 0.5000
```

Calculated values
Theoretical density: 5.1 Mg/m³
Energy above the lowest structure with this stoichiometry: 0.748 eV per formula unit
N(E_F): 4.2 states/eV/f.u.

***

8.
Entry from Alexandria: a geometry-optimized SrMg2Ta structure (PBE).

The structure in CIF format:
```
data_SrMg2Ta
_chemical_formula_sum 'Sr1 Mg2 Ta1'
_space_group_name_H-M_alt 'P m m m'
_space_group_IT_number 47
_cell_length_a 3.1715
_cell_length_b 5.5057
_cell_length_c 5.7021
_cell_angle_alpha 90.00
_cell_angle_beta 90.00
_cell_angle_gamma 90.00
loop_
_space_group_symop_operation_xyz
'x,y,z'
'-x,-y,-z'
'-x,-y,z'
'x,y,-z'
'x,-y,-z'
'-x,y,z'
'-x,y,-z'
'x,-y,z'
loop_
_atom_site_label
_atom_site_fract_x
_atom_site_fract_y
_atom_site_fract_z
Sr1 0.0000 0.0000 0.0000
Mg1 0.0000 0.5000 0.5000
Mg2 0.5000 0.0000 0.5000
Ta1 0.5000 0.5000 0.0000
```

Calculated values
Theoretical density: 5.3 Mg/m³
Energy above the lowest structure with this stoichiometry: 1.475 eV per formula unit
N(E_F): 3.8 states/eV/f.u.

***

9.
Entry from Alexandria: a geometry-optimized SrMgTa structure (PBE).

The structure in CIF format:
```
data_SrMgTa
_chemical_formula_sum 'Sr1 Mg1 Ta1'
_space_group_name_H-M_alt 'P 3 m 1'
_space_group_IT_number 156
_cell_length_a 3.2095
_cell_length_b 3.2095
_cell_length_c 8.4356
_cell_angle_alpha 90.00
_cell_angle_beta 90.00
_cell_angle_gamma 120.00
loop_
_space_group_symop_operation_xyz
'x,y,z'
'-y,x-y,z'
'-x+y,-x,z'
'-y,-x,z'
'-x+y,y,z'
'x,x-y,z'
loop_
_atom_site_label
_atom_site_fract_x
_atom_site_fract_y
_atom_site_fract_z
Sr1 0.0000 0.0000 0.0000
Mg1 0.3333 0.6667 0.6222
Ta1 0.6667 0.3333 0.3326
```

Calculated values
Theoretical density: 6.5 Mg/m³
Energy above the lowest structure with this stoichiometry: 0.238 eV per formula unit
N(E_F): 4.1 states/eV/f.u.

***

10.
Entry from Alexandria: a geometry-optimized SrMgTa3 structure (PBE).

The structure in CIF format:
```
data_SrMgTa3
_chemical_formula_sum 'Sr1 Mg1 Ta3'
_space_group_name_H-M_alt 'P m -3 m'
_space_group_IT_number 221
_space_group_name_Hall '-P 4 2 3'
_cell_length_a 4.9326
_cell_length_b 4.9326
_cell_length_c 4.9326
_cell_angle_alpha 90.00
_cell_angle_beta 90.00
_cell_angle_gamma 90.00
loop_
_atom_site_label
_atom_site_fract_x
_atom_site_fract_y
_atom_site_fract_z
Sr1 0.0000 0.0000 0.0000
Mg1 0.5000 0.5000 0.5000
Ta1 0.0000 0.0000 0.5000
```

Calculated values
Theoretical density: 9.1 Mg/m³
Energy above the lowest structure with this stoichiometry: 4.290 eV per formula unit
N(E_F): 5.8 states/eV/f.u.

***

11.
Entry from Alexandria: a geometry-optimized SrMg2Ta structure (PBE).

The structure in CIF format:
```
data_SrMg2Ta
_chemical_formula_sum 'Sr2 Mg4 Ta2'
_space_group_name_H-M_alt 'I 4/m m m'
_space_group_IT_number 139
_space_group_name_Hall '-I 4 2'
_cell_length_a 5.1999
_cell_length_b 5.1999
_cell_length_c 7.3455
_cell_angle_alpha 90.00
_cell_angle_beta 90.00
_cell_angle_gamma 90.00
loop_
_atom_site_label
_atom_site_fract_x
_atom_site_fract_y
_atom_site_fract_z
Sr1 0.0000 0.0000 0.0000
Mg1 0.0000 0.5000 0.2500
Ta1 0.0000 0.0000 0.5000
```

Calculated values
Theoretical density: 5.3 Mg/m³
Energy above the lowest structure with this stoichiometry: 1.061 eV per formula unit
N(E_F): 4.4 states/eV/f.u.

***

12.
Entry from Alexandria: a geometry-optimized SrMg4Ta structure (PBE).

The structure in CIF format:
```
data_SrMg4Ta
_chemical_formula_sum 'Sr4 Mg16 Ta4'
_space_group_name_H-M_alt 'F -4 3 m'
_space_group_IT_number 216
_space_group_name_Hall 'F -4 2 3'
_cell_length_a 8.3947
_cell_length_b 8.3947
_cell_length_c 8.3947
_cell_angle_alpha 90.00
_cell_angle_beta 90.00
_cell_angle_gamma 90.00
loop_
_atom_site_label
_atom_site_fract_x
_atom_site_fract_y
_atom_site_fract_z
Sr1 0.0000 0.0000 0.0000
Mg1 0.1233 0.1233 0.3767
Ta1 0.2500 0.2500 0.7500
```

Calculated values
Theoretical density: 4.1 Mg/m³
Raw total energy: -2.887 eV/atom
N(E_F): 7.5 states/eV/f.u.